# 1
The following is a DFT calculation (PBE) of a geometry-optimized CaTa3Zn structure.

It has space group Pm-3m (No. 221), with a = 4.852 Å, b = 4.852 Å, c = 4.852 Å, α = 90.00°, β = 90.00° and γ = 90.00°. The asymmetric unit holds Ca at (0.000, 0.000, 0.000), Ta at (0.000, 0.500, 0.500) and Zn at (0.500, 0.500, 0.500).

For the energy above the most stable polymorph in this dataset, the calculation gives 0 meV/atom. The density of states at the Fermi level is 7.05 states/eV per cell. The formation energy is 1.284 eV/atom.

***

# 2
The following is a DFT calculation (PBE) of a geometry-optimized CaTaZn2 structure.

It has space group Imm2 (No. 44), with a = 2.933 Å, b = 5.072 Å, c = 10.224 Å, α = 90.00°, β = 90.00° and γ = 90.00°. The asymmetric unit holds Ca at (0.000, 0.000, 0.000), Ta at (0.000, 0.500, 0.790), Zn at (0.000, 0.000, 0.523) and Zn at (0.000, 0.500, 0.237).

The density of states at the Fermi level is 6.83 states/eV per cell. The formation energy is 0.244 eV/atom.

***

# 3
The following is a DFT calculation (PBE) of a geometry-optimized CaTaZn structure.

It has space group P3m1 (No. 156), with a = 3.0948 Å, b = 3.0948 Å, c = 7.6202 Å, α = 90.00°, β = 90.00° and γ = 120.00°. The asymmetric unit holds Ca at (0.0000, 0.0000, 0.0000), Ta at (0.3333, 0.6667, 0.3604) and Zn at (0.6667, 0.3333, 0.6543).

For the energy above the most stable polymorph in this dataset, the calculation gives 152 meV/atom. The density of states at the Fermi level is 3.58 states/eV per cell. The formation energy is 0.479 eV/atom.